Here is a crystal of Cu3Te2 relaxed with PBEsol from Alexandria. Energies are from meta-GGA SCAN.

Its size of the total moment is 0.00 μB/f.u. The value obtained for the raw formation energy is -0.256 eV per formula unit. The density comes out at 7.91 Mg/m³.

It has space group P4mm (No. 99), with a = 3.982 Å, b = 3.982 Å, c = 5.900 Å, α = 90.00°, β = 90.00° and γ = 90.00°. The distinct sites, in fractional coordinates, are Cu at (0.000, 0.000, 0.000), Cu at (0.000, 0.500, 0.722), Te at (0.000, 0.000, 0.444) and Te at (0.500, 0.500, 0.027).